No. 1
Ac2NiAg2O6 PBE+U relaxed; calculated total energy = -5.601 eV per atom; space-group type = R-3m, No. 166; ρ = 7.87 g/cm³
1.0
3.102 1.791 5.220
-3.102 1.791 5.220
0.000 -3.582 5.220
Ac Ni Ag O
2 1 2 6
Direct
0.210 0.210 0.210 Ac
0.790 0.790 0.790 Ac
0.000 0.000 0.000 Ni
0.411 0.411 0.411 Ag
0.589 0.589 0.589 Ag
0.189 0.773 0.773 O
0.227 0.227 0.811 O
0.227 0.811 0.227 O
0.773 0.189 0.773 O
0.773 0.773 0.189 O
0.811 0.227 0.227 O

---

No. 2
Ac2NiAgO6 PBE+U relaxed; calculated total energy = -6.216 eV per atom; space-group type = P2_1/c, No. 14; ρ = 8.67 g/cm³
1.0
5.871 0.000 0.000
0.000 5.840 0.000
-5.751 0.000 8.008
Ac Ni Ag O
4 2 2 12
Direct
0.240 0.039 0.248 Ac
0.240 0.461 0.748 Ac
0.760 0.539 0.252 Ac
0.760 0.961 0.752 Ac
0.000 0.000 0.500 Ni
0.000 0.500 0.000 Ni
0.500 0.000 0.000 Ag
0.500 0.500 0.500 Ag
0.153 0.230 0.956 O
0.153 0.270 0.456 O
0.244 0.714 0.958 O
0.244 0.786 0.458 O
0.330 0.025 0.748 O
0.330 0.475 0.248 O
0.670 0.525 0.752 O
0.670 0.975 0.252 O
0.756 0.214 0.542 O
0.756 0.286 0.042 O
0.847 0.730 0.544 O
0.847 0.770 0.044 O

---

No. 3
Ac4Ni3AgO12 PBE+U relaxed; calculated total energy = -6.294 eV per atom; space-group type = Im-3m, No. 229; ρ = 9.05 g/cm³
1.0
-3.989 3.989 3.989
3.989 -3.989 3.989
3.989 3.989 -3.989
Ac Ni Ag O
4 3 1 12
Direct
0.000 0.000 0.500 Ac
0.000 0.500 0.000 Ac
0.500 0.000 0.000 Ac
0.500 0.500 0.500 Ac
0.000 0.500 0.500 Ni
0.500 0.000 0.500 Ni
0.500 0.500 0.000 Ni
0.000 0.000 0.000 Ag
0.000 0.258 0.258 O
0.000 0.742 0.742 O
0.250 0.500 0.750 O
0.250 0.750 0.500 O
0.258 0.000 0.258 O
0.258 0.258 0.000 O
0.500 0.250 0.750 O
0.500 0.750 0.250 O
0.742 0.000 0.742 O
0.742 0.742 0.000 O
0.750 0.250 0.500 O
0.750 0.500 0.250 O

---

- Among the records above, which one has the lowest calculated total energy?
  Ac4Ni3AgO12

---

- Which value of calculated total energy does entry 1 give?
  -5.601 eV per atom

---

- calculated total energy of number 3 (Ac4Ni3AgO12)?
  -6.294 eV per atom